No. 1
LaScI2: optimized geometry, GGA-PBE.

Lattice parameters (Å, degrees): 10.7705 10.7705 10.7705 20.52 20.52 20.52
Sites, in units of the cell vectors:
La 0.0000 0.0000 0.0000
Sc 0.5000 0.5000 0.5000
I 0.1050 0.1050 0.1050
I 0.8950 0.8950 0.8950

- symmetry = R-3m, No. 166
- excess energy over the best structure of this formula in the dataset (eV/atom) = 0.007
- Fermi-level density of states (states/eV/cell) = 5.3
- formation energy from raw total energies (eV/atom) = -0.63

***

No. 2
Ga2TcI8: optimized geometry, GGA-PBE.

Lattice parameters (Å, degrees): 8.6366 8.6366 7.2581 93.67 93.67 77.26
Sites, in units of the cell vectors:
Ga 0.2060 0.2060 0.1588
Ga 0.7940 0.7940 0.8412
Tc 0.0000 0.0000 0.5000
I 0.0772 0.7288 0.6879
I 0.1882 0.1882 0.7995
I 0.2712 0.9228 0.3121
I 0.3886 0.3886 0.2800
I 0.6114 0.6114 0.7200
I 0.7288 0.0772 0.6879
I 0.8118 0.8118 0.2005
I 0.9228 0.2712 0.3121

- symmetry = C2/m, No. 12
- formation energy from raw total energies (eV/atom) = -0.28

***

No. 3
BeReAu2: optimized geometry, GGA-PBE.

Lattice parameters (Å, degrees): 5.3817 5.3817 5.3817 149.99 130.19 59.25
Sites, in units of the cell vectors:
Be 0.0000 0.0000 0.0000
Re 0.5000 0.5000 0.0000
Au 0.2055 0.7055 0.5000
Au 0.7945 0.2945 0.5000

- symmetry = Immm, No. 71
- Fermi-level density of states (states/eV/cell) = 1.9
- energy of formation from the pure elements (kcal/mol of atoms) = 9.34